Record 1
Computed, not measured: a relaxed structure of Ba2BiRu at the PBE-GGA level of DFT.

Cell and atoms, written as POSCAR:
```
Ba2BiRu
1.0
11.664 0.000 0.000
0.000 11.664 0.000
0.000 0.000 5.265
Ba Bi Ru
8 4 4
direct
0.079 0.250 0.125 Ba
0.250 0.579 0.375 Ba
0.250 0.921 0.875 Ba
0.421 0.250 0.625 Ba
0.579 0.750 0.625 Ba
0.750 0.079 0.875 Ba
0.750 0.421 0.375 Ba
0.921 0.750 0.125 Ba
0.000 0.000 0.500 Bi
0.000 0.500 0.750 Bi
0.500 0.000 0.250 Bi
0.500 0.500 0.000 Bi
0.000 0.000 0.000 Ru
0.000 0.500 0.250 Ru
0.500 0.000 0.750 Ru
0.500 0.500 0.500 Ru
```

Values from the calculation:
- total DFT energy (no corrections) (eV per atom) = -4.270
- E_form (eV/atom) = -0.019



Record 2
Computed, not measured: a relaxed structure of BaBi2Ru2 at the PBE-GGA level of DFT.

Cell and atoms, written as POSCAR:
```
BaBi2Ru2
1.0
8.345 0.000 0.000
0.000 8.345 0.000
0.000 0.000 3.417
Ba Bi Ru
2 4 4
direct
0.000 0.000 0.000 Ba
0.500 0.500 0.000 Ba
0.150 0.350 0.500 Bi
0.350 0.850 0.500 Bi
0.650 0.150 0.500 Bi
0.850 0.650 0.500 Bi
0.127 0.627 0.000 Ru
0.373 0.127 0.000 Ru
0.627 0.873 0.000 Ru
0.873 0.373 0.000 Ru
```

Values from the calculation:
- total DFT energy (no corrections) (eV per atom) = -5.389
- E_form (eV/atom) = 0.258



Record 3
Computed, not measured: a relaxed structure of BaBiRu3 at the PBE-GGA level of DFT.

Cell and atoms, written as POSCAR:
```
BaBiRu3
1.0
5.046 0.000 0.000
0.000 5.046 0.000
0.000 0.000 5.046
Ba Bi Ru
1 1 3
direct
0.000 0.000 0.000 Ba
0.500 0.500 0.500 Bi
0.000 0.000 0.500 Ru
0.000 0.500 0.000 Ru
0.500 0.000 0.000 Ru
```

Values from the calculation:
- energy relative to the lowest polymorph listed for this composition (meV/atom) = 1063
- total DFT energy (no corrections) (eV per atom) = -4.401
- E_form (eV/atom) = 2.325



Record 4
Computed, not measured: a relaxed structure of BaBi2Ru at the PBE-GGA level of DFT.

Cell and atoms, written as POSCAR:
```
BaBi2Ru
1.0
5.835 0.000 0.000
0.000 5.835 0.000
0.000 0.000 17.452
Ba Bi Ru
4 8 4
direct
0.000 0.000 0.000 Ba
0.000 0.500 0.250 Ba
0.500 0.000 0.750 Ba
0.500 0.500 0.500 Ba
0.093 0.250 0.625 Bi
0.250 0.593 0.875 Bi
0.250 0.907 0.375 Bi
0.407 0.250 0.125 Bi
0.593 0.750 0.125 Bi
0.750 0.093 0.375 Bi
0.750 0.407 0.875 Bi
0.907 0.750 0.625 Bi
0.000 0.000 0.500 Ru
0.000 0.500 0.750 Ru
0.500 0.000 0.250 Ru
0.500 0.500 0.000 Ru
```

Values from the calculation:
- total DFT energy (no corrections) (eV per atom) = -4.617
- E_form (eV/atom) = 0.124



Q: The lowest total DFT energy (no corrections) belongs to which entry?
A: BaBi2Ru2



Q: Which of these has the lowest E_form?
A: Ba2BiRu



Q: Which formula does entry 1 have?
A: Ba2BiRu



Repeat the second record exactly.
Computed, not measured: a relaxed structure of BaBi2Ru2 at the PBE-GGA level of DFT.

Cell and atoms, written as POSCAR:
```
BaBi2Ru2
1.0
8.345 0.000 0.000
0.000 8.345 0.000
0.000 0.000 3.417
Ba Bi Ru
2 4 4
direct
0.000 0.000 0.000 Ba
0.500 0.500 0.000 Ba
0.150 0.350 0.500 Bi
0.350 0.850 0.500 Bi
0.650 0.150 0.500 Bi
0.850 0.650 0.500 Bi
0.127 0.627 0.000 Ru
0.373 0.127 0.000 Ru
0.627 0.873 0.000 Ru
0.873 0.373 0.000 Ru
```

Values from the calculation:
- total DFT energy (no corrections) (eV per atom) = -5.389
- E_form (eV/atom) = 0.258